DFT (PBE-GGA) results for a relaxed Cs3SrTc2O8 crystal.

Results
The magnetization comes out at 3.0 μB/cell. The uncorrected formation energy comes out at -1809 meV per atom. As for the total energy: -90.0 eV for the cell shown.

Lattice parameters (Å, degrees): 6.475 6.475 8.466 90.00 90.00 120.00
Positions (direct):
Cs1 0.000 0.000 0.000
Cs2 0.333 0.667 0.687
Cs3 0.667 0.333 0.313
Sr1 0.000 0.000 0.500
Tc1 0.333 0.667 0.243
Tc2 0.667 0.333 0.757
O1 0.181 0.362 0.323
O2 0.181 0.819 0.323
O3 0.333 0.667 0.033
O4 0.362 0.181 0.677
O5 0.638 0.819 0.323
O6 0.667 0.333 0.967
O7 0.819 0.181 0.677
O8 0.819 0.638 0.677